No. 1
First-principles (PBE) data for NaPm5Mg6 after structural relaxation, as listed in Alexandria.

* crystal system: monoclinic

Cell: 17.2771 7.7178 5.4651 Å, 90.00 108.32 90.00°
Space group C2/m (No. 12)
Unique sites:
Na: 0.0000 0.0000 0.0000 x2
Pm: 0.0000 0.5000 0.0000 x2
Pm: 0.1668 0.5000 0.6673 x4
Pm: 0.1715 0.0000 0.6718 x4
Mg: 0.0000 0.2456 0.5000 x4
Mg: 0.1633 0.2434 0.1641 x8

No. 2
First-principles (PBE) data for NaPmMg2 after structural relaxation, as listed in Alexandria.

* energy above the most stable polymorph in this dataset: 42 meV per atom
* crystal system: cubic

Cell: 7.6721 7.6721 7.6721 Å, 90.00 90.00 90.00°
Space group Fm-3m (No. 225)
Unique sites:
Na: 0.0000 0.0000 0.0000 x4
Pm: 0.0000 0.0000 0.5000 x4
Mg: 0.2500 0.2500 0.2500 x8

No. 3
First-principles (PBE) data for NaPm5Mg4 after structural relaxation, as listed in Alexandria.

* crystal system: tetragonal

Cell: 3.8711 3.8711 20.0367 Å, 90.00 90.00 90.00°
Space group P4/mmm (No. 123)
Unique sites:
Na: 0.0000 0.0000 0.0000 x1
Pm: 0.5000 0.5000 0.1193 x2
Pm: 0.5000 0.5000 0.3067 x2
Pm: 0.5000 0.5000 0.5000 x1
Mg: 0.0000 0.0000 0.2125 x2
Mg: 0.0000 0.0000 0.4030 x2

No. 4
First-principles (PBE) data for NaPmMg2 after structural relaxation, as listed in Alexandria.

* energy above the most stable polymorph in this dataset: 0 meV per atom
* crystal system: tetragonal

Cell: 3.7625 3.7625 8.2045 Å, 90.00 90.00 90.00°
Space group P4/mmm (No. 123)
Unique sites:
Na: 0.0000 0.0000 0.0000 x1
Pm: 0.0000 0.0000 0.5000 x1
Mg: 0.5000 0.5000 0.2501 x2

no.,E_tot (eV/atom)
1,-2.930
2,-2.230
3,-3.170
4,-2.272